This record from Alexandria via LeMat-Bulk describes a relaxed Sr2LiMgAs crystal. The functional is PBE-GGA.

Calculated values
Its energy relative to the elements is -404 meV per atom. The magnetic moment comes out at 0.0 μB per formula unit.

Cell: 6.0726 6.0726 4.9173 Å, 90.00 90.00 90.00°
Fractional coordinates of all 5 atoms:
Sr  0.0000  0.5000  0.0000
Sr  0.5000  0.0000  0.0000
Li  0.0000  0.0000  0.5000
Mg  0.5000  0.5000  0.5000
As  0.0000  0.0000  0.0000

***

This record from Alexandria via LeMat-Bulk describes a relaxed Li2MgTcAs crystal. The functional is PBE-GGA.

Calculated values
Its energy relative to the elements is 1007 meV per atom. The magnetic moment comes out at 3.4 μB per formula unit.

Cell: 4.6129 4.6129 4.7809 Å, 90.00 90.00 90.00°
Fractional coordinates of all 5 atoms:
Li  0.0000  0.5000  0.0000
Li  0.5000  0.0000  0.0000
Mg  0.0000  0.0000  0.0000
Tc  0.5000  0.5000  0.5000
As  0.0000  0.0000  0.5000

***

This record from Alexandria via LeMat-Bulk describes a relaxed LiMg2TiAs crystal. The functional is PBE-GGA.

Calculated values
Its energy relative to the elements is 310 meV per atom. The magnetic moment comes out at 1.5 μB per formula unit.

Cell: 5.4021 5.4021 4.8413 Å, 90.00 90.00 90.00°
Fractional coordinates of all 5 atoms:
Li  0.0000  0.0000  0.0000
Mg  0.0000  0.5000  0.5000
Mg  0.5000  0.0000  0.5000
Ti  0.5000  0.5000  0.5000
As  0.5000  0.5000  0.0000

***

This record from Alexandria via LeMat-Bulk describes a relaxed Li2MgTlAs crystal. The functional is PBE-GGA.

Calculated values
Its energy relative to the elements is -264 meV per atom. The magnetic moment comes out at 0.0 μB per formula unit.

Cell: 4.8532 4.8532 5.1579 Å, 90.00 90.00 90.00°
Fractional coordinates of all 5 atoms:
Li  0.0000  0.5000  0.0000
Li  0.5000  0.0000  0.0000
Mg  0.0000  0.0000  0.5000
Tl  0.5000  0.5000  0.5000
As  0.0000  0.0000  0.0000